Here is crystalline CaAcTlCd at its relaxed geometry from Alexandria. Energies are from PBE.

CIF file:
```
data_CaAcTlCd
_symmetry_space_group_name_H-M 'F -4 3 m'
_symmetry_Int_Tables_number 216
_symmetry_space_group_name_Hall 'F -4 2 3'
_cell_length_a 8.003
_cell_length_b 8.003
_cell_length_c 8.003
_cell_angle_alpha 90.00
_cell_angle_beta 90.00
_cell_angle_gamma 90.00
loop_
_atom_site_label
_atom_site_type_symbol
_atom_site_fract_x
_atom_site_fract_y
_atom_site_fract_z
_atom_site_occupancy
Ca1 Ca 0.000 0.000 0.000 1
Ac1 Ac 0.000 0.000 0.500 1
Tl1 Tl 0.250 0.250 0.750 1
Cd1 Cd 0.250 0.250 0.250 1
```

Computed properties:
* ΔE_f: -0.405 eV per atom
* V: 513 Å³/cell


Here is crystalline CaAcZnCd at its relaxed geometry from Alexandria. Energies are from PBE.

CIF file:
```
data_CaAcZnCd
_symmetry_space_group_name_H-M 'P 4 m m'
_symmetry_Int_Tables_number 99
_symmetry_space_group_name_Hall 'P 4 -2'
_cell_length_a 3.889
_cell_length_b 3.889
_cell_length_c 7.755
_cell_angle_alpha 90.00
_cell_angle_beta 90.00
_cell_angle_gamma 90.00
loop_
_atom_site_label
_atom_site_type_symbol
_atom_site_fract_x
_atom_site_fract_y
_atom_site_fract_z
_atom_site_occupancy
Ca1 Ca 0.000 0.000 0.000 1
Ac1 Ac 0.000 0.000 0.525 1
Zn1 Zn 0.500 0.500 0.779 1
Cd1 Cd 0.500 0.500 0.238 1
```

Computed properties:
* ΔE_f: -0.275 eV per atom
* relative energy among the computed polymorphs: 0.023 eV/atom
* V: 117 Å³/cell


Here is crystalline CaAcZnCd at its relaxed geometry from Alexandria. Energies are from PBE.

CIF file:
```
data_CaAcZnCd
_symmetry_space_group_name_H-M 'F -4 3 m'
_symmetry_Int_Tables_number 216
_symmetry_space_group_name_Hall 'F -4 2 3'
_cell_length_a 7.801
_cell_length_b 7.801
_cell_length_c 7.801
_cell_angle_alpha 90.00
_cell_angle_beta 90.00
_cell_angle_gamma 90.00
loop_
_atom_site_label
_atom_site_type_symbol
_atom_site_fract_x
_atom_site_fract_y
_atom_site_fract_z
_atom_site_occupancy
Ca1 Ca 0.000 0.000 0.000 1
Ac1 Ac 0.000 0.000 0.500 1
Zn1 Zn 0.250 0.250 0.750 1
Cd1 Cd 0.250 0.250 0.250 1
```

Computed properties:
* ΔE_f: -0.297 eV per atom
* relative energy among the computed polymorphs: 0.000 eV/atom
* V: 475 Å³/cell


Here is crystalline CaAc4Ce at its relaxed geometry from Alexandria. Energies are from PBE.

CIF file:
```
data_CaAc4Ce
_symmetry_space_group_name_H-M 'F -4 3 m'
_symmetry_Int_Tables_number 216
_symmetry_space_group_name_Hall 'F -4 2 3'
_cell_length_a 10.339
_cell_length_b 10.339
_cell_length_c 10.339
_cell_angle_alpha 90.00
_cell_angle_beta 90.00
_cell_angle_gamma 90.00
loop_
_atom_site_label
_atom_site_type_symbol
_atom_site_fract_x
_atom_site_fract_y
_atom_site_fract_z
_atom_site_occupancy
Ca1 Ca 0.000 0.000 0.000 1
Ac1 Ac 0.124 0.124 0.624 1
Ce1 Ce 0.250 0.250 0.250 1
```

Computed properties:
* ΔE_f: 0.347 eV per atom
* V: 1105 Å³/cell


Here is crystalline CaAc2Ce at its relaxed geometry from Alexandria. Energies are from PBE.

CIF file:
```
data_CaAc2Ce
_symmetry_space_group_name_H-M 'R -3 m'
_symmetry_Int_Tables_number 166
_symmetry_space_group_name_Hall '-R 3 2"'
_cell_length_a 3.7458
_cell_length_b 3.7458
_cell_length_c 40.7098
_cell_angle_alpha 90.00
_cell_angle_beta 90.00
_cell_angle_gamma 120.00
loop_
_atom_site_label
_atom_site_type_symbol
_atom_site_fract_x
_atom_site_fract_y
_atom_site_fract_z
_atom_site_occupancy
Ca1 Ca 0.0000 0.0000 0.0000 1
Ac1 Ac 0.0000 0.0000 0.4149 1
Ce1 Ce 0.0000 0.0000 0.5000 1
```

Computed properties:
* ΔE_f: 0.312 eV per atom
* relative energy among the computed polymorphs: 0.222 eV/atom
* V: 495 Å³/cell


Here is crystalline CaAc2Ce at its relaxed geometry from Alexandria. Energies are from PBE.

CIF file:
```
data_CaAc2Ce
_symmetry_space_group_name_H-M 'F m -3 m'
_symmetry_Int_Tables_number 225
_symmetry_space_group_name_Hall '-F 4 2 3'
_cell_length_a 8.696
_cell_length_b 8.696
_cell_length_c 8.696
_cell_angle_alpha 90.00
_cell_angle_beta 90.00
_cell_angle_gamma 90.00
loop_
_atom_site_label
_atom_site_type_symbol
_atom_site_fract_x
_atom_site_fract_y
_atom_site_fract_z
_atom_site_occupancy
Ca1 Ca 0.000 0.000 0.000 1
Ac1 Ac 0.250 0.250 0.250 1
Ce1 Ce 0.000 0.000 0.500 1
```

Computed properties:
* ΔE_f: 0.204 eV per atom
* relative energy among the computed polymorphs: 0.113 eV/atom
* V: 658 Å³/cell


Here is crystalline CaAc2Ce at its relaxed geometry from Alexandria. Energies are from PBE.

CIF file:
```
data_CaAc2Ce
_symmetry_space_group_name_H-M 'P 4/m m m'
_symmetry_Int_Tables_number 123
_symmetry_space_group_name_Hall '-P 4 2'
_cell_length_a 3.827
_cell_length_b 3.827
_cell_length_c 10.923
_cell_angle_alpha 90.00
_cell_angle_beta 90.00
_cell_angle_gamma 90.00
loop_
_atom_site_label
_atom_site_type_symbol
_atom_site_fract_x
_atom_site_fract_y
_atom_site_fract_z
_atom_site_occupancy
Ca1 Ca 0.000 0.000 0.000 1
Ac1 Ac 0.500 0.500 0.270 1
Ce1 Ce 0.000 0.000 0.500 1
```

Computed properties:
* ΔE_f: 0.091 eV per atom
* relative energy among the computed polymorphs: 0.000 eV/atom
* V: 160 Å³/cell


Here is crystalline CaAc2Ce at its relaxed geometry from Alexandria. Energies are from PBE.

CIF file:
```
data_CaAc2Ce
_symmetry_space_group_name_H-M 'R 3 m'
_symmetry_Int_Tables_number 160
_symmetry_space_group_name_Hall 'R 3 -2"'
_cell_length_a 3.8502
_cell_length_b 3.8502
_cell_length_c 37.6899
_cell_angle_alpha 90.00
_cell_angle_beta 90.00
_cell_angle_gamma 120.00
loop_
_atom_site_label
_atom_site_type_symbol
_atom_site_fract_x
_atom_site_fract_y
_atom_site_fract_z
_atom_site_occupancy
Ca1 Ca 0.0000 0.0000 0.0000 1
Ac1 Ac 0.0000 0.0000 0.5785 1
Ac2 Ac 0.0000 0.0000 0.7542 1
Ce1 Ce 0.0000 0.0000 0.1663 1
```

Computed properties:
* ΔE_f: 0.101 eV per atom
* relative energy among the computed polymorphs: 0.011 eV/atom
* V: 484 Å³/cell


Here is crystalline CaAc2Ce at its relaxed geometry from Alexandria. Energies are from PBE.

CIF file:
```
data_CaAc2Ce
_symmetry_space_group_name_H-M 'P 4/m m m'
_symmetry_Int_Tables_number 123
_symmetry_space_group_name_Hall '-P 4 2'
_cell_length_a 5.539
_cell_length_b 5.539
_cell_length_c 5.243
_cell_angle_alpha 90.00
_cell_angle_beta 90.00
_cell_angle_gamma 90.00
loop_
_atom_site_label
_atom_site_type_symbol
_atom_site_fract_x
_atom_site_fract_y
_atom_site_fract_z
_atom_site_occupancy
Ca1 Ca 0.000 0.000 0.000 1
Ac1 Ac 0.000 0.500 0.500 1
Ce1 Ce 0.500 0.500 0.000 1
```

Computed properties:
* ΔE_f: 0.159 eV per atom
* relative energy among the computed polymorphs: 0.068 eV/atom
* V: 161 Å³/cell


Here is crystalline CaAcCeGa at its relaxed geometry from Alexandria. Energies are from PBE.

CIF file:
```
data_CaAcCeGa
_symmetry_space_group_name_H-M 'F -4 3 m'
_symmetry_Int_Tables_number 216
_symmetry_space_group_name_Hall 'F -4 2 3'
_cell_length_a 7.912
_cell_length_b 7.912
_cell_length_c 7.912
_cell_angle_alpha 90.00
_cell_angle_beta 90.00
_cell_angle_gamma 90.00
loop_
_atom_site_label
_atom_site_type_symbol
_atom_site_fract_x
_atom_site_fract_y
_atom_site_fract_z
_atom_site_occupancy
Ca1 Ca 0.000 0.000 0.000 1
Ac1 Ac 0.250 0.250 0.250 1
Ce1 Ce 0.000 0.000 0.500 1
Ga1 Ga 0.250 0.250 0.750 1
```

Computed properties:
* ΔE_f: 0.125 eV per atom
* V: 495 Å³/cell


Here is crystalline CaAcCe2Hg4 at its relaxed geometry from Alexandria. Energies are from PBE.

CIF file:
```
data_CaAcCe2Hg4
_symmetry_space_group_name_H-M 'R -3 m'
_symmetry_Int_Tables_number 166
_symmetry_space_group_name_Hall '-R 3 2"'
_cell_length_a 5.4701
_cell_length_b 5.4701
_cell_length_c 27.1956
_cell_angle_alpha 90.00
_cell_angle_beta 90.00
_cell_angle_gamma 120.00
loop_
_atom_site_label
_atom_site_type_symbol
_atom_site_fract_x
_atom_site_fract_y
_atom_site_fract_z
_atom_site_occupancy
Ca1 Ca 0.0000 0.0000 0.0000 1
Ac1 Ac 0.0000 0.0000 0.5000 1
Ce1 Ce 0.0000 0.0000 0.2526 1
Hg1 Hg 0.0000 0.0000 0.1200 1
Hg2 Hg 0.0000 0.0000 0.3729 1
```

Computed properties:
* ΔE_f: -0.392 eV per atom
* V: 705 Å³/cell


Here is crystalline CaAcCeHo at its relaxed geometry from Alexandria. Energies are from PBE.

CIF file:
```
data_CaAcCeHo
_symmetry_space_group_name_H-M 'F -4 3 m'
_symmetry_Int_Tables_number 216
_symmetry_space_group_name_Hall 'F -4 2 3'
_cell_length_a 8.415
_cell_length_b 8.415
_cell_length_c 8.415
_cell_angle_alpha 90.00
_cell_angle_beta 90.00
_cell_angle_gamma 90.00
loop_
_atom_site_label
_atom_site_type_symbol
_atom_site_fract_x
_atom_site_fract_y
_atom_site_fract_z
_atom_site_occupancy
Ca1 Ca 0.000 0.000 0.000 1
Ac1 Ac 0.250 0.250 0.750 1
Ce1 Ce 0.000 0.000 0.500 1
Ho1 Ho 0.250 0.250 0.250 1
```

Computed properties:
* ΔE_f: 0.251 eV per atom
* V: 596 Å³/cell


Here is crystalline CaAcCeLu at its relaxed geometry from Alexandria. Energies are from PBE.

CIF file:
```
data_CaAcCeLu
_symmetry_space_group_name_H-M 'F -4 3 m'
_symmetry_Int_Tables_number 216
_symmetry_space_group_name_Hall 'F -4 2 3'
_cell_length_a 8.377
_cell_length_b 8.377
_cell_length_c 8.377
_cell_angle_alpha 90.00
_cell_angle_beta 90.00
_cell_angle_gamma 90.00
loop_
_atom_site_label
_atom_site_type_symbol
_atom_site_fract_x
_atom_site_fract_y
_atom_site_fract_z
_atom_site_occupancy
Ca1 Ca 0.000 0.000 0.000 1
Ac1 Ac 0.250 0.250 0.250 1
Ce1 Ce 0.000 0.000 0.500 1
Lu1 Lu 0.250 0.250 0.750 1
```

Computed properties:
* ΔE_f: 0.258 eV per atom
* V: 588 Å³/cell


Number 1: magnetic moment 0.00 Bohr magnetons per cell. Number 2: magnetic moment 0.00 Bohr magnetons per cell. Number 3: magnetic moment 0.00 Bohr magnetons per cell. Number 4: magnetic moment 5.47 Bohr magnetons per cell. Number 5: magnetic moment 5.80 Bohr magnetons per cell. Number 6: magnetic moment 6.94 Bohr magnetons per cell. Number 7: magnetic moment 0.77 Bohr magnetons per cell. Number 8: magnetic moment 2.74 Bohr magnetons per cell. Number 9: magnetic moment 1.22 Bohr magnetons per cell. Number 10: magnetic moment 9.21 Bohr magnetons per cell. Number 11: magnetic moment 7.79 Bohr magnetons per cell. Number 12: magnetic moment 8.48 Bohr magnetons per cell. Number 13: magnetic moment 8.26 Bohr magnetons per cell.